Entry from Alexandria via LeMat-Bulk: crystalline LaTb2Hg at its relaxed geometry (PBE).

Cell lengths 5.4436, 5.4436, 5.4436 Å; angles 60.00, 60.00, 60.00 degrees
Closest atoms and distances in Å follow each position.
Positions (direct):
La: 0.0000 0.0000 0.0000  8 Tb 3.33
Tb: 0.2500 0.2500 0.2500  4 Hg 3.33, 4 La 3.33
Tb: 0.7500 0.7500 0.7500  4 Hg 3.33, 4 La 3.33
Hg: 0.5000 0.5000 0.5000  8 Tb 3.33

Summary:
The calculation puts the polymorph energy (0 for the lowest one) at 0.1976 eV/atom. Its crystal system is cubic. For the calculated total energy, the calculation gives -3.6534 eV per atom. Its density of states at the Fermi level is 1.215 states/eV/atom. The space-group type is Fm-3m (225). As for the total magnetic moment: 0.5589 μB per atom. As for the calculated volume: 28.52 Å³ per atom.



Entry from Alexandria via LeMat-Bulk: crystalline Tm2PuSn at its relaxed geometry (PBE).

Cell lengths 3.4992, 3.4992, 8.9476 Å; angles 90.00, 90.00, 90.00 degrees
Closest atoms and distances in Å follow each position.
Positions (direct):
Tm: 0.0000 0.0000 0.2323  4 Sn 3.23, 4 Pu 3.44, 4 Tm 3.50
Tm: 0.0000 0.0000 0.7677  4 Sn 3.23, 4 Pu 3.44, 4 Tm 3.50
Pu: 0.5000 0.5000 0.5000  8 Tm 3.44, 4 Pu 3.50
Sn: 0.5000 0.5000 0.0000  8 Tm 3.23, 4 Sn 3.50

Summary:
The calculation puts the polymorph energy (0 for the lowest one) at 0.0835 eV/atom. Its crystal system is tetragonal. For the calculated total energy, the calculation gives -7.0411 eV per atom. Its density of states at the Fermi level is 1.836 states/eV/atom. The space-group type is P4/mmm (123). As for the total magnetic moment: 1.5636 μB per atom. As for the calculated volume: 27.39 Å³ per atom.



Entry from Alexandria via LeMat-Bulk: crystalline Hf2SbTe at its relaxed geometry (PBE).

Cell lengths 5.0188, 5.0188, 3.5183 Å; angles 90.00, 90.00, 90.00 degrees
Closest atoms and distances in Å follow each position.
Positions (direct):
Hf: 0.0000 0.5000 0.0000  4 Sb 3.06, 4 Te 3.06
Hf: 0.5000 0.0000 0.0000  4 Sb 3.06, 4 Te 3.06
Sb: 0.0000 0.0000 0.5000  8 Hf 3.06
Te: 0.5000 0.5000 0.5000  8 Hf 3.06

Summary:
The calculation puts the polymorph energy (0 for the lowest one) at 0.1296 eV/atom. Its crystal system is tetragonal. For the calculated total energy, the calculation gives -7.2265 eV per atom. Its density of states at the Fermi level is 0.533 states/eV/atom. The space-group type is P4/mmm (123). The value obtained for the uncorrected formation energy is -1.74 eV/f.u. As for the total magnetic moment: 0.0000 μB per atom. As for the calculated volume: 22.16 Å³ per atom.



Entry from Alexandria via LeMat-Bulk: crystalline Th2InC at its relaxed geometry (PBE).

Cell lengths 8.6613, 8.6613, 8.6613 Å; angles 24.89, 24.89, 24.89 degrees
Closest atoms and distances in Å follow each position.
Positions (direct):
Th: 0.2244 0.2244 0.2244  3 C 2.60
Th: 0.7756 0.7756 0.7756  3 C 2.60
In: 0.0000 0.0000 0.0000  6 Th 3.49, 6 In 3.73
C: 0.5000 0.5000 0.5000  6 Th 2.60

Summary:
Its crystal system is trigonal. For the calculated total energy, the calculation gives -7.0242 eV per atom. Its density of states at the Fermi level is 0.944 states/eV/atom. The space-group type is R-3m (166). As for the total magnetic moment: 0.0000 μB per atom. As for the calculated volume: 25.32 Å³ per atom.



Entry from Alexandria via LeMat-Bulk: crystalline LiFeCo at its relaxed geometry (PBE).

Cell lengths 4.8009, 3.9540, 7.2623 Å; angles 90.00, 90.00, 90.00 degrees
Closest atoms and distances in Å follow each position.
Positions (direct):
Li: 0.1185 0.2500 0.0287  2 Li 2.32, 3 Co 2.40-2.59, 3 Fe 2.45-2.58
Li: 0.3815 0.7500 0.5287  2 Li 2.32, 3 Co 2.40-2.59, 3 Fe 2.45-2.58
Li: 0.6185 0.2500 0.4713  2 Li 2.32, 3 Co 2.40-2.59, 3 Fe 2.45-2.58
Li: 0.8815 0.7500 0.9713  2 Li 2.32, 3 Co 2.40-2.59, 3 Fe 2.45-2.58
Fe: 0.1048 0.2500 0.3658  5 Co 2.37-2.61, 3 Li 2.45-2.58
Fe: 0.3952 0.7500 0.8658  5 Co 2.37-2.61, 3 Li 2.45-2.58
Fe: 0.6048 0.2500 0.1342  5 Co 2.37-2.61, 3 Li 2.45-2.58
Fe: 0.8952 0.7500 0.6342  5 Co 2.37-2.61, 3 Li 2.45-2.58
Co: 0.1472 0.2500 0.6991  5 Fe 2.37-2.61, 3 Li 2.40-2.59, 2 Co 2.51
Co: 0.3528 0.7500 0.1991  5 Fe 2.37-2.61, 3 Li 2.40-2.59, 2 Co 2.51
Co: 0.6472 0.2500 0.8009  5 Fe 2.37-2.61, 3 Li 2.40-2.59, 2 Co 2.51
Co: 0.8528 0.7500 0.3009  5 Fe 2.37-2.61, 3 Li 2.40-2.59, 2 Co 2.51

Summary:
The calculation puts the polymorph energy (0 for the lowest one) at 0.0329 eV/atom. Its crystal system is orthorhombic. For the calculated total energy, the calculation gives -5.6695 eV per atom. Its density of states at the Fermi level is 0.393 states/eV/atom. The space-group type is Pnma (62). As for the total magnetic moment: 1.3145 μB per atom. As for the calculated volume: 11.49 Å³ per atom.



Entry from Alexandria via LeMat-Bulk: crystalline Ni2AgS3 at its relaxed geometry (PBE).

Cell lengths 6.7135, 6.7135, 5.1293 Å; angles 90.00, 90.00, 120.00 degrees
Closest atoms and distances in Å follow each position.
Positions (direct):
Ni: 0.0000 0.0000 0.0000  6 S 2.30
Ni: 0.0000 0.5000 0.0000  4 S 2.19
Ni: 0.5000 0.0000 0.0000  4 S 2.19
Ni: 0.5000 0.5000 0.0000  4 S 2.19
Ag: 0.3333 0.6667 0.3793  3 Ni 2.75, 3 S 2.79
Ag: 0.6667 0.3333 0.6207  3 Ni 2.75, 3 S 2.79
S: 0.1739 0.3479 0.7862  3 Ni 2.19-2.30
S: 0.1739 0.8261 0.7862  3 Ni 2.19-2.30
S: 0.3479 0.1739 0.2138  3 Ni 2.19-2.30
S: 0.6521 0.8261 0.7862  3 Ni 2.19-2.30
S: 0.8261 0.1739 0.2138  3 Ni 2.19-2.30
S: 0.8261 0.6521 0.2138  3 Ni 2.19-2.30

Summary:
Its crystal system is trigonal. For the calculated total energy, the calculation gives -4.7193 eV per atom. Its density of states at the Fermi level is 0.438 states/eV/atom. The space-group type is P-3m1 (164). The value obtained for the uncorrected formation energy is -1.52 eV/f.u. As for the total magnetic moment: 0.0000 μB per atom. As for the calculated volume: 16.68 Å³ per atom.